Computed, not measured: a relaxed structure of ThZrTl at the GGA-PBE level of DFT.

**Raw total energy**: -5.7251 eV per atom
**V**: 93 Å³/cell
**Mass density**: 9.43 Mg/m³
**Magnetic moment**: 0.0 μB per formula unit

Unit cell a=5.0832 b=5.0832 c=5.0832 alpha=60.00 beta=60.00 gamma=60.00
Last column: nearest neighbours and their distance in Å.
Positions (direct):
Th1 0.2500 0.2500 0.2500  4 Tl 3.11
Tl1 0.0000 0.0000 0.0000  4 Zr 3.11, 4 Th 3.11
Zr1 0.7500 0.7500 0.7500  4 Tl 3.11